(1)
# Tm3Co2Ag2 PBE optimized geometry
data_Tm3Co2Ag2
_cell_length_a 10.216
_cell_length_b 10.216
_cell_length_c 3.760
_cell_angle_alpha 90.00
_cell_angle_beta 90.00
_cell_angle_gamma 158.85
_space_group_name_H-M_alt 'P 1'
_space_group_IT_number 1
loop_
_space_group_symop_operation_xyz
'x,y,z'
loop_
_atom_site_label
_atom_site_type_symbol
_atom_site_fract_x
_atom_site_fract_y
_atom_site_fract_z
Tm1 Tm 0.000 0.000 0.000
Tm2 Tm 0.174 0.826 0.000
Tm3 Tm 0.826 0.174 0.000
Co1 Co 0.280 0.720 0.500
Co2 Co 0.720 0.280 0.500
Ag1 Ag 0.420 0.580 0.500
Ag2 Ag 0.580 0.420 0.500
# Total energy   -5.03 eV per atom
# Space-group type   No. 65
# Density   9.85 Mg/m³
# Crystal system   orthorhombic
# Size of the total moment   1.2 μB per formula unit
# V   20.231 Å³ per atom
# DFT formation energy   -1.87 eV per formula unit

---

(2)
# TcRh2 PBE optimized geometry
data_TcRh2
_cell_length_a 5.185
_cell_length_b 5.185
_cell_length_c 6.443
_cell_angle_alpha 103.79
_cell_angle_beta 103.79
_cell_angle_gamma 30.56
_space_group_name_H-M_alt 'P 1'
_space_group_IT_number 1
loop_
_space_group_symop_operation_xyz
'x,y,z'
loop_
_atom_site_label
_atom_site_type_symbol
_atom_site_fract_x
_atom_site_fract_y
_atom_site_fract_z
Tc1 Tc 0.000 0.000 0.000
Tc2 Tc 0.666 0.666 0.328
Rh1 Rh 0.276 0.276 0.053
Rh2 Rh 0.333 0.333 0.660
Rh3 Rh 0.610 0.610 0.723
Rh4 Rh 0.948 0.948 0.384
# Total energy   -8.45 eV per atom
# Space-group type   No. 8
# Density   11.82 Mg/m³
# Crystal system   monoclinic
# Size of the total moment   0.0 μB per formula unit
# V   14.224 Å³ per atom
# DFT formation energy   -0.27 eV per formula unit

---

(3)
# YTlBr3 PBE optimized geometry
data_YTlBr3
_cell_length_a 5.824
_cell_length_b 5.824
_cell_length_c 5.824
_cell_angle_alpha 90.00
_cell_angle_beta 90.00
_cell_angle_gamma 90.00
_space_group_name_H-M_alt 'P 1'
_space_group_IT_number 1
loop_
_space_group_symop_operation_xyz
'x,y,z'
loop_
_atom_site_label
_atom_site_type_symbol
_atom_site_fract_x
_atom_site_fract_y
_atom_site_fract_z
Y1 Y 0.000 0.000 0.000
Tl1 Tl 0.500 0.500 0.500
Br1 Br 0.000 0.500 0.500
Br2 Br 0.500 0.000 0.500
Br3 Br 0.500 0.500 0.000
# Raw formation energy   -22.6 kJ/mol of atoms
# Total energy   -3.00 eV per atom
# Space-group type   No. 221
# Density   4.48 Mg/m³
# Crystal system   cubic
# Size of the total moment   1.3 μB per formula unit
# V   39.510 Å³ per atom

---

(4)
# LaSnH2 PBE optimized geometry
data_LaSnH2
_cell_length_a 4.156
_cell_length_b 4.156
_cell_length_c 5.140
_cell_angle_alpha 90.88
_cell_angle_beta 90.88
_cell_angle_gamma 53.52
_space_group_name_H-M_alt 'P 1'
_space_group_IT_number 1
loop_
_space_group_symop_operation_xyz
'x,y,z'
loop_
_atom_site_label
_atom_site_type_symbol
_atom_site_fract_x
_atom_site_fract_y
_atom_site_fract_z
La1 La 0.000 0.000 0.000
Sn1 Sn 0.313 0.313 0.491
H1 H 0.529 0.529 0.291
H2 H 0.681 0.681 0.920
# Total energy   -4.25 eV per atom
# Space-group type   No. 8
# Density   6.04 Mg/m³
# Crystal system   monoclinic
# Size of the total moment   0.0 μB per formula unit
# V   17.846 Å³ per atom

---

(5)
# ScTeAsSe2 PBE optimized geometry
data_ScTeAsSe2
_cell_length_a 5.276
_cell_length_b 5.276
_cell_length_c 5.233
_cell_angle_alpha 90.00
_cell_angle_beta 90.00
_cell_angle_gamma 90.00
_space_group_name_H-M_alt 'P 1'
_space_group_IT_number 1
loop_
_space_group_symop_operation_xyz
'x,y,z'
loop_
_atom_site_label
_atom_site_type_symbol
_atom_site_fract_x
_atom_site_fract_y
_atom_site_fract_z
Sc1 Sc 0.000 0.000 0.000
Te1 Te 0.500 0.500 0.500
As1 As 0.500 0.500 0.000
Se1 Se 0.000 0.500 0.500
Se2 Se 0.500 0.000 0.500
# Raw formation energy   33.8 kJ/mol of atoms
# Total energy   -3.87 eV per atom
# Space-group type   No. 123
# Density   4.62 Mg/m³
# Crystal system   tetragonal
# Size of the total moment   0.0 μB per formula unit
# V   29.127 Å³ per atom

---

(6)
# K2CdAuF PBE optimized geometry
data_K2CdAuF
_cell_length_a 5.154
_cell_length_b 5.154
_cell_length_c 5.428
_cell_angle_alpha 90.00
_cell_angle_beta 90.00
_cell_angle_gamma 90.00
_space_group_name_H-M_alt 'P 1'
_space_group_IT_number 1
loop_
_space_group_symop_operation_xyz
'x,y,z'
loop_
_atom_site_label
_atom_site_type_symbol
_atom_site_fract_x
_atom_site_fract_y
_atom_site_fract_z
K1 K 0.000 0.500 0.000
K2 K 0.500 0.000 0.000
Cd1 Cd 0.000 0.000 0.500
Au1 Au 0.500 0.500 0.500
F1 F 0.000 0.000 0.000
# Raw formation energy   -95.0 kJ/mol of atoms
# Total energy   -2.64 eV per atom
# Space-group type   No. 123
# Density   4.68 Mg/m³
# Crystal system   tetragonal
# Size of the total moment   0.0 μB per formula unit
# V   28.833 Å³ per atom

---

(7)
# Mn2Fe21B6 PBE optimized geometry
data_Mn2Fe21B6
_cell_length_a 7.472
_cell_length_b 7.472
_cell_length_c 7.472
_cell_angle_alpha 60.00
_cell_angle_beta 60.00
_cell_angle_gamma 60.00
_space_group_name_H-M_alt 'P 1'
_space_group_IT_number 1
loop_
_space_group_symop_operation_xyz
'x,y,z'
loop_
_atom_site_label
_atom_site_type_symbol
_atom_site_fract_x
_atom_site_fract_y
_atom_site_fract_z
Mn1 Mn 0.250 0.250 0.250
Mn2 Mn 0.750 0.750 0.750
Fe1 Fe 0.000 0.000 0.000
Fe2 Fe 0.000 0.000 0.342
Fe3 Fe 0.000 0.000 0.658
Fe4 Fe 0.000 0.342 0.000
Fe5 Fe 0.000 0.342 0.658
Fe6 Fe 0.000 0.658 0.000
Fe7 Fe 0.000 0.658 0.342
Fe8 Fe 0.146 0.618 0.618
Fe9 Fe 0.342 0.000 0.000
Fe10 Fe 0.342 0.000 0.658
Fe11 Fe 0.342 0.658 0.000
Fe12 Fe 0.382 0.382 0.382
Fe13 Fe 0.382 0.382 0.854
Fe14 Fe 0.382 0.854 0.382
Fe15 Fe 0.618 0.146 0.618
Fe16 Fe 0.618 0.618 0.146
Fe17 Fe 0.618 0.618 0.618
Fe18 Fe 0.658 0.000 0.000
Fe19 Fe 0.658 0.000 0.342
Fe20 Fe 0.658 0.342 0.000
Fe21 Fe 0.854 0.382 0.382
B1 B 0.276 0.276 0.724
B2 B 0.276 0.724 0.276
B3 B 0.276 0.724 0.724
B4 B 0.724 0.276 0.276
B5 B 0.724 0.276 0.724
B6 B 0.724 0.724 0.276
# Total energy   -8.32 eV per atom
# Space-group type   No. 225
# Density   7.59 Mg/m³
# Crystal system   cubic
# Size of the total moment   34.7 μB per formula unit
# V   10.172 Å³ per atom
# DFT formation energy   -5.21 eV per formula unit

---

(8)
# LiInSn PBE optimized geometry
data_LiInSn
_cell_length_a 3.143
_cell_length_b 6.145
_cell_length_c 7.344
_cell_angle_alpha 91.42
_cell_angle_beta 90.03
_cell_angle_gamma 90.03
_space_group_name_H-M_alt 'P 1'
_space_group_IT_number 1
loop_
_space_group_symop_operation_xyz
'x,y,z'
loop_
_atom_site_label
_atom_site_type_symbol
_atom_site_fract_x
_atom_site_fract_y
_atom_site_fract_z
Li1 Li 0.000 0.238 0.219
Li2 Li 0.000 0.762 0.781
In1 In 0.499 0.741 0.122
In2 In 0.501 0.259 0.878
Sn1 Sn 0.500 0.000 0.500
Sn2 Sn 0.500 0.500 0.500
# Total energy   -3.06 eV per atom
# Space-group type   No. 2
# Density   5.63 Mg/m³
# Crystal system   triclinic
# Size of the total moment   0.0 μB per formula unit
# V   23.631 Å³ per atom
# DFT formation energy   -0.53 eV per formula unit

---

(9)
# SmDy8Sb6 PBE optimized geometry
data_SmDy8Sb6
_cell_length_a 9.490
_cell_length_b 9.490
_cell_length_c 9.490
_cell_angle_alpha 50.06
_cell_angle_beta 50.06
_cell_angle_gamma 50.06
_space_group_name_H-M_alt 'P 1'
_space_group_IT_number 1
loop_
_space_group_symop_operation_xyz
'x,y,z'
loop_
_atom_site_label
_atom_site_type_symbol
_atom_site_fract_x
_atom_site_fract_y
_atom_site_fract_z
Sm1 Sm 0.000 0.000 0.000
Dy1 Dy 0.124 0.792 0.451
Dy2 Dy 0.208 0.549 0.876
Dy3 Dy 0.333 0.333 0.333
Dy4 Dy 0.451 0.124 0.792
Dy5 Dy 0.549 0.876 0.208
Dy6 Dy 0.667 0.667 0.667
Dy7 Dy 0.792 0.451 0.124
Dy8 Dy 0.876 0.208 0.549
Sb1 Sb 0.067 0.407 0.731
Sb2 Sb 0.269 0.933 0.593
Sb3 Sb 0.407 0.731 0.067
Sb4 Sb 0.593 0.269 0.933
Sb5 Sb 0.731 0.067 0.407
Sb6 Sb 0.933 0.593 0.269
# Raw formation energy   -73.6 kJ/mol of atoms
# Total energy   -5.18 eV per atom
# Space-group type   No. 148
# Density   7.83 Mg/m³
# Crystal system   trigonal
# Size of the total moment   0.0 μB per formula unit
# V   30.833 Å³ per atom

---

(10)
# ZrPbF2 PBE optimized geometry
data_ZrPbF2
_cell_length_a 9.005
_cell_length_b 9.005
_cell_length_c 9.005
_cell_angle_alpha 19.60
_cell_angle_beta 19.60
_cell_angle_gamma 19.60
_space_group_name_H-M_alt 'P 1'
_space_group_IT_number 1
loop_
_space_group_symop_operation_xyz
'x,y,z'
loop_
_atom_site_label
_atom_site_type_symbol
_atom_site_fract_x
_atom_site_fract_y
_atom_site_fract_z
Zr1 Zr 0.000 0.000 0.000
Pb1 Pb 0.500 0.500 0.500
F1 F 0.390 0.390 0.390
F2 F 0.610 0.610 0.610
# Raw formation energy   -177.7 kJ/mol of atoms
# Total energy   -5.84 eV per atom
# Space-group type   No. 166
# Density   7.78 Mg/m³
# Crystal system   trigonal
# Size of the total moment   0.0 μB per formula unit
# V   17.960 Å³ per atom

---

(11)
# Hf2TaAsN PBE optimized geometry
data_Hf2TaAsN
_cell_length_a 5.106
_cell_length_b 5.106
_cell_length_c 4.724
_cell_angle_alpha 90.00
_cell_angle_beta 90.00
_cell_angle_gamma 90.00
_space_group_name_H-M_alt 'P 1'
_space_group_IT_number 1
loop_
_space_group_symop_operation_xyz
'x,y,z'
loop_
_atom_site_label
_atom_site_type_symbol
_atom_site_fract_x
_atom_site_fract_y
_atom_site_fract_z
Hf1 Hf 0.000 0.500 0.000
Hf2 Hf 0.500 0.000 0.000
Ta1 Ta 0.000 0.000 0.000
As1 As 0.000 0.000 0.500
N1 N 0.500 0.500 0.500
# Raw formation energy   171.8 kJ/mol of atoms
# Total energy   -7.17 eV per atom
# Space-group type   No. 123
# Density   8.45 Mg/m³
# Crystal system   tetragonal
# Size of the total moment   0.0 μB per formula unit
# V   24.630 Å³ per atom

---

(12)
# AcPrPb6 PBE optimized geometry
data_AcPrPb6
_cell_length_a 5.014
_cell_length_b 5.014
_cell_length_c 9.974
_cell_angle_alpha 90.00
_cell_angle_beta 90.00
_cell_angle_gamma 90.00
_space_group_name_H-M_alt 'P 1'
_space_group_IT_number 1
loop_
_space_group_symop_operation_xyz
'x,y,z'
loop_
_atom_site_label
_atom_site_type_symbol
_atom_site_fract_x
_atom_site_fract_y
_atom_site_fract_z
Ac1 Ac 0.000 0.000 0.000
Pr1 Pr 0.000 0.000 0.500
Pb1 Pb 0.000 0.500 0.256
Pb2 Pb 0.000 0.500 0.744
Pb3 Pb 0.500 0.000 0.256
Pb4 Pb 0.500 0.000 0.744
Pb5 Pb 0.500 0.500 0.000
Pb6 Pb 0.500 0.500 0.500
# Total energy   -4.29 eV per atom
# Space-group type   No. 123
# Density   10.67 Mg/m³
# Crystal system   tetragonal
# Size of the total moment   0.0 μB per formula unit
# V   31.344 Å³ per atom
# DFT formation energy   -3.18 eV per formula unit